1:
Compound: Mn2CdHg
Source: Alexandria via LeMat-Bulk
Functional: PBE-GGA
Structure: optimized geometry

Calculated values
- Space group: No. 44
- Density: 9.78 g/cm³
- Crystal system: orthorhombic

Structure (extended XYZ):
```
4
Lattice="5.635 0.010 0.018 2.754 4.916 -0.018 -3.613 -3.453 2.603" Properties=species:S:1:pos:R:3 pbc="T T T"
Hg 1.593 1.919 1.292
Mn 8.320 4.886 0.000
Mn 3.207 -0.431 1.311
Cd 4.238 2.489 0.000
```

---

2:
Compound: Mn2CdHg
Source: Alexandria via LeMat-Bulk
Functional: PBE-GGA
Structure: optimized geometry

Calculated values
- Space group: No. 12
- Density: 9.77 g/cm³
- Crystal system: monoclinic

Structure (extended XYZ):
```
4
Lattice="-5.029 -4.741 -2.030 2.669 -0.372 3.360 -2.985 -0.957 2.274" Properties=species:S:1:pos:R:3 pbc="T T T"
Cd -0.158 -0.665 2.817
Hg -1.180 -2.557 0.665
Mn 0.000 0.000 0.000
Mn -4.007 -2.849 0.122
```

---

3:
Compound: Mn2CdHg
Source: Alexandria via LeMat-Bulk
Functional: PBE-GGA
Structure: optimized geometry

Calculated values
- Space group: No. 119
- Density: 9.67 g/cm³
- Crystal system: tetragonal

Structure (extended XYZ):
```
4
Lattice="5.276 0.048 0.000 2.127 4.829 0.000 -3.702 -2.438 2.862" Properties=species:S:1:pos:R:3 pbc="T T T"
Cd 3.702 2.438 0.000
Mn 1.064 2.414 1.431
Mn 0.000 0.000 0.000
Hg 2.638 0.024 1.431
```

---

Referenced to the most stable arrangement, the calculated values in eV/atom are 1 0.035; 2 0.000; 3 0.054.